Crystalline KRb2GdCl6 at its relaxed geometry. Source: Alexandria via LeMat-Bulk, functional PBE.

POSCAR file:
```
KRb2GdCl6
1.0
8.007 0.002 0.001
4.005 6.932 0.001
4.005 2.313 6.534
Rb K Cl Gd
2 1 6 1
Direct
0.750 0.750 0.750 Rb
0.250 0.250 0.250 Rb
0.500 0.500 0.500 K
0.235 0.765 0.765 Cl
0.235 0.764 0.236 Cl
0.765 0.236 0.764 Cl
0.235 0.236 0.764 Cl
0.765 0.764 0.236 Cl
0.765 0.235 0.235 Cl
0.000 0.000 0.000 Gd
```

Computed properties:
The space-group type is Fm-3m. Its magnetization is 7.00 μB/cell. The calculation puts the formation energy from raw total energies at -2.10 eV per atom.

Crystalline BaCuNiGe2 at its relaxed geometry. Source: Alexandria via LeMat-Bulk, functional PBE.

POSCAR file:
```
BaCuNiGe2
1.0
4.666 0.000 0.000
0.000 4.900 0.000
0.000 0.000 4.666
Ge Cu Ni Ba
2 1 1 1
Direct
0.000 0.000 0.500 Ge
0.500 0.000 0.000 Ge
0.000 0.500 0.000 Cu
0.000 0.000 0.000 Ni
0.500 0.500 0.500 Ba
```

Computed properties:
The space-group type is P4/mmm. The calculation puts the formation energy from the elements at -99 meV/atom. The relative energy among the computed polymorphs comes out at 0.265 eV per atom. Its magnetization is 0.00 μB/cell.

Crystalline Ce2PaGe3 at its relaxed geometry. Source: Alexandria via LeMat-Bulk, functional PBE.

POSCAR file:
```
Ce2PaGe3
1.0
3.108 0.000 0.000
0.000 5.574 0.000
-1.554 -2.787 8.577
Pa Ge Ce
1 3 2
Direct
0.000 0.000 0.000 Pa
0.169 0.169 0.338 Ge
0.000 0.500 0.000 Ge
0.831 0.831 0.662 Ge
0.656 0.656 0.312 Ce
0.344 0.344 0.688 Ce
```

Computed properties:
The space-group type is Immm. The calculation puts the formation energy from the elements at -311 meV/atom. The relative energy among the computed polymorphs comes out at 0.278 eV per atom. Its magnetization is 2.36 μB/cell.

Crystalline HfRuN2 at its relaxed geometry. Source: Alexandria via LeMat-Bulk, functional PBE.

POSCAR file:
```
HfRuN2
1.0
4.537 0.000 0.000
0.000 4.537 0.000
2.268 2.268 5.156
Hf N Ru
2 4 2
Direct
0.750 0.250 0.500 Hf
0.000 0.000 0.000 Hf
0.140 0.625 0.250 N
0.875 0.860 0.750 N
0.375 0.390 0.750 N
0.610 0.125 0.250 N
0.250 0.750 0.500 Ru
0.500 0.500 0.000 Ru
```

Computed properties:
The space-group type is I-42d. The relative energy among the computed polymorphs comes out at 0.000 eV per atom. Its magnetization is 0.00 μB/cell. The calculation puts the formation energy from raw total energies at -0.53 eV per atom.

Crystalline BeCuPb2 at its relaxed geometry. Source: Alexandria via LeMat-Bulk, functional PBE.

POSCAR file:
```
BeCuPb2
1.0
6.007 -0.013 0.000
3.349 4.987 0.000
-4.678 -2.487 2.832
Pb Be Cu
2 1 1
Direct
0.250 0.750 0.500 Pb
0.000 0.000 0.000 Pb
0.500 0.500 0.000 Be
0.750 0.250 0.500 Cu
```

Computed properties:
The space-group type is I-4m2. The calculation puts the formation energy from the elements at 579 meV/atom. Its magnetization is 0.00 μB/cell.

Crystalline Al2Cu at its relaxed geometry. Source: Alexandria via LeMat-Bulk, functional PBE.

POSCAR file:
```
Al2Cu
1.0
4.123 0.000 0.000
0.000 4.123 0.000
0.000 0.000 2.885
Al Cu
2 1
Direct
0.500 0.000 0.500 Al
0.000 0.500 0.500 Al
0.000 0.000 0.000 Cu
```

Computed properties:
The space-group type is P4/mmm. The calculation puts the formation energy from the elements at -31 meV/atom. Its magnetization is 0.00 μB/cell.

Crystalline Th4RhSe2S at its relaxed geometry. Source: Alexandria via LeMat-Bulk, functional PBE.

POSCAR file:
```
Th4RhSe2S
1.0
4.063 0.000 0.000
0.000 7.398 -0.210
0.000 2.544 6.796
S Rh Se Th
1 1 2 4
Direct
0.000 0.500 0.500 S
0.500 0.500 0.000 Rh
0.500 0.000 0.500 Se
0.000 0.000 0.000 Se
0.000 0.273 0.236 Th
0.500 0.265 0.742 Th
0.500 0.735 0.258 Th
0.000 0.727 0.764 Th
```

Computed properties:
The space-group type is P2/m. Its magnetization is 0.00 μB/cell. The calculation puts the formation energy from raw total energies at -1.46 eV per atom.

Crystalline Hf2BeV2 at its relaxed geometry. Source: Alexandria via LeMat-Bulk, functional PBE.

POSCAR file:
```
Hf2BeV2
1.0
-4.577 3.641 -2.719
-3.771 -0.890 5.156
1.562 3.233 1.700
Hf Be V
4 2 4
Direct
0.674 0.826 0.500 Hf
0.326 0.174 0.500 Hf
0.174 0.674 0.500 Hf
0.826 0.326 0.500 Hf
0.000 0.000 0.000 Be
0.500 0.500 0.000 Be
0.369 0.869 0.000 V
0.131 0.369 0.000 V
0.869 0.631 0.000 V
0.631 0.131 0.000 V
```

Computed properties:
The space-group type is P4/mbm. The calculation puts the formation energy from the elements at 180 meV/atom. Its magnetization is 0.00 μB/cell.

Crystalline Dy3Er3ScTe8 at its relaxed geometry. Source: Alexandria via LeMat-Bulk, functional PBE.

POSCAR file:
```
Dy3Er3ScTe8
1.0
-7.373 0.677 4.425
2.232 -7.547 -3.533
4.358 3.038 6.795
Dy Te Er Sc
3 8 3 1
Direct
0.500 0.000 0.500 Dy
0.500 0.500 0.500 Dy
0.000 0.500 0.500 Dy
0.249 0.498 0.247 Te
0.247 0.998 0.249 Te
0.751 0.502 0.753 Te
0.249 0.002 0.751 Te
0.751 0.998 0.249 Te
0.753 0.002 0.751 Te
0.751 0.502 0.249 Te
0.249 0.498 0.751 Te
0.000 0.500 0.000 Er
0.500 0.500 0.000 Er
0.000 0.000 0.000 Er
0.000 0.000 0.500 Sc
```

Computed properties:
The space-group type is R-3m. Its magnetization is 0.00 μB/cell. The calculation puts the formation energy from raw total energies at -1.31 eV per atom.

Crystalline K2TeSe2 at its relaxed geometry. Source: Alexandria via LeMat-Bulk, functional PBE.

POSCAR file:
```
K2TeSe2
1.0
5.205 0.000 0.000
0.000 6.848 0.000
-2.602 0.000 9.961
Te K Se
2 4 4
Direct
0.379 0.450 0.758 Te
0.621 0.950 0.242 Te
0.983 0.778 0.966 K
0.799 0.036 0.599 K
0.201 0.536 0.401 K
0.017 0.278 0.034 K
0.413 0.077 0.826 Se
0.587 0.577 0.174 Se
0.837 0.525 0.674 Se
0.163 0.025 0.326 Se
```

Computed properties:
The space-group type is Cmc2_1. The relative energy among the computed polymorphs comes out at 0.000 eV per atom. Its magnetization is 0.00 μB/cell. The calculation puts the formation energy from raw total energies at -0.73 eV per atom.

Crystalline MnP3Se9 at its relaxed geometry. Source: Alexandria via LeMat-Bulk, functional PBE.

POSCAR file:
```
MnP3Se9
1.0
-1.927 -7.711 2.338
7.617 -5.712 2.118
-0.309 -1.242 10.326
Se P Mn
18 6 2
Direct
0.485 0.245 0.562 Se
0.976 0.576 0.223 Se
0.747 0.411 0.563 Se
0.934 0.278 0.207 Se
0.580 0.778 0.707 Se
0.356 0.828 0.430 Se
0.326 0.192 0.334 Se
0.809 0.065 0.026 Se
0.708 0.745 0.062 Se
0.279 0.911 0.063 Se
0.795 0.007 0.728 Se
0.100 0.565 0.526 Se
0.470 0.507 0.228 Se
0.385 0.328 0.930 Se
0.148 0.692 0.834 Se
0.853 0.412 0.874 Se
0.224 0.076 0.723 Se
0.862 0.912 0.374 Se
0.965 0.050 0.173 P
0.021 0.945 0.828 P
0.429 0.759 0.227 P
0.586 0.259 0.727 P
0.813 0.550 0.673 P
0.206 0.445 0.328 P
0.994 0.488 0.005 Mn
0.513 0.988 0.505 Mn
```

Computed properties:
The space-group type is Cc. Its magnetization is 7.97 μB/cell. The calculation puts the formation energy from raw total energies at 0.00 eV per atom.

Crystalline TiCoGe at its relaxed geometry. Source: Alexandria via LeMat-Bulk, functional PBE.

POSCAR file:
```
TiCoGe
1.0
6.334 0.000 0.000
0.000 7.166 0.000
-3.167 -3.583 5.451
Ge Ti Co
6 6 6
Direct
0.715 0.216 0.931 Ge
0.421 0.660 0.334 Ge
0.783 0.784 0.069 Ge
0.421 0.174 0.334 Ge
0.087 0.826 0.666 Ge
0.087 0.340 0.666 Ge
0.329 0.249 0.997 Ti
0.759 0.021 0.542 Ti
0.755 0.555 0.610 Ti
0.217 0.979 0.458 Ti
0.332 0.751 0.003 Ti
0.146 0.445 0.390 Ti
0.999 0.000 0.000 Co
0.750 0.164 0.245 Co
0.505 0.418 0.755 Co
0.999 0.500 0.000 Co
0.505 0.836 0.755 Co
0.750 0.582 0.245 Co
```

Computed properties:
The space-group type is Ima2. The calculation puts the formation energy from the elements at -600 meV/atom. Its magnetization is 4.02 μB/cell.